Record 1
Entry from OQMD: a relaxed Dy4CoPd2 crystal (PBE).

It has space group P3m1 (No. 156), with a = 4.5244 Å, b = 4.5244 Å, c = 11.1809 Å, α = 90.00°, β = 90.00° and γ = 120.00°. The inequivalent atoms are Dy at (0.0000, 0.0000, 0.0000), Dy at (0.0000, 0.0000, 0.4661), Dy at (0.3333, 0.6667, 0.2373), Dy at (0.3333, 0.6667, 0.7648), Co at (0.0000, 0.0000, 0.2295), Pd at (0.3333, 0.6667, 0.5160) and Pd at (0.6667, 0.3333, 0.8799).

For the formation energy from the elements, the calculation gives -123 kJ/mol of formula units.



Record 2
Entry from OQMD: a relaxed DyCoPd crystal (PBE).

It has space group F-43m (No. 216), with a = 6.2660 Å, b = 6.2660 Å, c = 6.2660 Å, α = 90.00°, β = 90.00° and γ = 90.00°. The inequivalent atoms are Dy at (0.0000, 0.0000, 0.0000), Co at (0.2500, 0.2500, 0.2500) and Pd at (0.2500, 0.2500, 0.7500).

For the formation energy from the elements, the calculation gives 87 kJ/mol of formula units. The excess energy over the best structure of this formula in the dataset comes out at 0.401 eV per atom.



Record 3
Entry from OQMD: a relaxed PmDy2Co9 crystal (PBE).

It has space group R-3m (No. 166, hexagonal axes), with a = 4.9864 Å, b = 4.9864 Å, c = 24.2117 Å, α = 90.00°, β = 90.00° and γ = 120.00°. The inequivalent atoms are Pm at (0.0000, 0.0000, 0.0000), Dy at (0.0000, 0.0000, 0.1401), Co at (0.0000, 0.0000, 0.3350), Co at (0.0000, 0.0000, 0.5000) and Co at (0.0032, 0.5016, 0.9181).

For the formation energy from the elements, the calculation gives -169 kJ/mol of formula units.



Record 4
Entry from OQMD: a relaxed Dy2CoSi4Pt crystal (PBE).

It has space group Amm2 (No. 38), with a = 4.0950 Å, b = 4.0465 Å, c = 16.5620 Å, α = 90.00°, β = 90.00° and γ = 90.00°. The inequivalent atoms are Dy at (0.0000, 0.0000, 0.0000), Dy at (0.5000, 0.0000, 0.2079), Co at (0.5000, 0.0000, 0.4271), Si at (0.0000, 0.0000, 0.3648), Si at (0.0000, 0.0000, 0.6375), Si at (0.5000, 0.0000, 0.5620), Si at (0.5000, 0.0000, 0.8627) and Pt at (0.0000, 0.0000, 0.7806).

Its total energy is -6.391 eV/atom.



Record 5
Entry from OQMD: a relaxed RbDyCo crystal (PBE).

It has space group F-43m (No. 216), with a = 7.0400 Å, b = 7.0400 Å, c = 7.0400 Å, α = 90.00°, β = 90.00° and γ = 90.00°. The inequivalent atoms are Rb at (0.0000, 0.0000, 0.0000), Dy at (0.0000, 0.0000, 0.5000) and Co at (0.2500, 0.2500, 0.7500).

The excess energy over the best structure of this formula in the dataset comes out at 0.000 eV per atom.



Record 6
Entry from OQMD: a relaxed DyTlCoS3 crystal (PBE).

It has space group Pnma (No. 62), with a = 10.4038 Å, b = 3.8936 Å, c = 14.3752 Å, α = 90.00°, β = 90.00° and γ = 90.00°. The inequivalent atoms are Dy at (0.0150, 0.2500, 0.2460), Tl at (0.2283, 0.7500, 0.5007), Co at (0.2350, 0.2500, 0.7216), S at (0.0563, 0.2500, 0.6319), S at (0.0918, 0.7500, 0.1269) and S at (0.2366, 0.7500, 0.8113).

Its total energy is -5.418 eV/atom.



Record 7
Entry from OQMD: a relaxed Dy5CoSb2 crystal (PBE).

It has space group Pnma (No. 62), with a = 12.1722 Å, b = 8.7623 Å, c = 7.8698 Å, α = 90.00°, β = 90.00° and γ = 90.00°. The inequivalent atoms are Dy at (0.0019, 0.2500, 0.0474), Dy at (0.0649, 0.5378, 0.3218), Dy at (0.1937, 0.2500, 0.6210), Dy at (0.2037, 0.7500, 0.6553), Co at (0.0105, 0.2500, 0.4296) and Sb at (0.1729, 0.0088, 0.9285).

Its total energy is -5.505 eV/atom.



Record 8
Entry from OQMD: a relaxed DySc2CoSb2 crystal (PBE).

It has space group P4mm (No. 99), with a = 4.2312 Å, b = 4.2312 Å, c = 8.1153 Å, α = 90.00°, β = 90.00° and γ = 90.00°. The inequivalent atoms are Dy at (0.0000, 0.0000, 0.0000), Sc at (0.0000, 0.5000, 0.6275), Co at (0.5000, 0.5000, 0.4317), Sb at (0.0000, 0.0000, 0.3722) and Sb at (0.5000, 0.5000, 0.9080).

Its total energy is -5.935 eV/atom.



Record 9
Entry from OQMD: a relaxed DyScCo crystal (PBE).

It has space group F-43m (No. 216), with a = 6.3249 Å, b = 6.3249 Å, c = 6.3249 Å, α = 90.00°, β = 90.00° and γ = 90.00°. The inequivalent atoms are Dy at (0.0000, 0.0000, 0.0000), Sc at (0.2500, 0.2500, 0.7500) and Co at (0.0000, 0.0000, 0.5000).

For the formation energy from the elements, the calculation gives 192 kJ/mol of formula units. The excess energy over the best structure of this formula in the dataset comes out at 0.000 eV per atom.



Record 10
Entry from OQMD: a relaxed DyScCo crystal (PBE).

It has space group F-43m (No. 216), with a = 6.4117 Å, b = 6.4117 Å, c = 6.4117 Å, α = 90.00°, β = 90.00° and γ = 90.00°. The inequivalent atoms are Dy at (0.0000, 0.0000, 0.0000), Sc at (0.2500, 0.2500, 0.2500) and Co at (0.2500, 0.2500, 0.7500).

For the formation energy from the elements, the calculation gives 229 kJ/mol of formula units. The excess energy over the best structure of this formula in the dataset comes out at 0.129 eV per atom.



Record 11
Entry from OQMD: a relaxed DyCoSi2 crystal (PBE).

It has space group Cmcm (No. 63), with a = 4.0075 Å, b = 16.2414 Å, c = 3.9728 Å, α = 90.00°, β = 90.00° and γ = 90.00°. The inequivalent atoms are Dy at (0.0000, 0.1077, 0.2500), Co at (0.0000, 0.3211, 0.2500), Si at (0.0000, 0.2500, 0.7500) and Si at (0.0000, 0.4574, 0.2500).

Its total energy is -6.426 eV/atom.



Record 12
Entry from OQMD: a relaxed Dy3CoSi3 crystal (PBE).

It has space group C2/m (No. 12), with a = 10.4587 Å, b = 4.1597 Å, c = 13.4352 Å, α = 90.00°, β = 111.06° and γ = 90.00°. The inequivalent atoms are Dy at (0.0250, 0.0000, 0.3794), Dy at (0.1007, 0.0000, 0.9196), Dy at (0.2470, 0.0000, 0.2289), Co at (0.2471, 0.5000, 0.4178), Si at (0.0531, 0.5000, 0.2412), Si at (0.1141, 0.5000, 0.0759) and Si at (0.1404, 0.5000, 0.5438).

Its total energy is -6.098 eV/atom.